# 1
An optimized crystal structure of CaTaRe2, computed with PBE.

CIF file:
```
data_CaTaRe2
_cell_length_a 3.1773
_cell_length_b 4.8776
_cell_length_c 9.1929
_cell_angle_alpha 90.00
_cell_angle_beta 90.00
_cell_angle_gamma 90.00
_space_group_name_H-M_alt 'P 1'
_space_group_IT_number 1
_space_group_name_Hall 'P 1'
loop_
_atom_site_label
_atom_site_type_symbol
_atom_site_fract_x
_atom_site_fract_y
_atom_site_fract_z
_atom_site_occupancy
Ca1 Ca 0.0000 0.0000 0.0000 1
Ca2 Ca 0.5000 0.5000 0.5000 1
Ta1 Ta 0.0000 0.0000 0.5000 1
Ta2 Ta 0.5000 0.5000 0.0000 1
Re1 Re 0.0000 0.5000 0.2346 1
Re2 Re 0.0000 0.5000 0.7654 1
Re3 Re 0.5000 0.0000 0.2654 1
Re4 Re 0.5000 0.0000 0.7346 1
```

Output
- Relative energy among the computed polymorphs: 240 meV per atom
- ΔH_f (0 K): 0.573 eV/atom



# 2
An optimized crystal structure of CaTa4Re, computed with PBE.

CIF file:
```
data_CaTa4Re
_cell_length_a 5.5009
_cell_length_b 5.5009
_cell_length_c 5.5009
_cell_angle_alpha 60.00
_cell_angle_beta 60.00
_cell_angle_gamma 60.00
_space_group_name_H-M_alt 'P 1'
_space_group_IT_number 1
_space_group_name_Hall 'P 1'
loop_
_atom_site_label
_atom_site_type_symbol
_atom_site_fract_x
_atom_site_fract_y
_atom_site_fract_z
_atom_site_occupancy
Ca1 Ca 0.0000 0.0000 0.0000 1
Ta1 Ta 0.3752 0.3752 0.3752 1
Ta2 Ta 0.3752 0.3752 0.8745 1
Ta3 Ta 0.3752 0.8745 0.3752 1
Ta4 Ta 0.8745 0.3752 0.3752 1
Re1 Re 0.7500 0.7500 0.7500 1
```

Output
- ΔH_f (0 K): 0.577 eV/atom



# 3
An optimized crystal structure of CaTaRe2, computed with PBE.

CIF file:
```
data_CaTaRe2
_cell_length_a 3.2801
_cell_length_b 4.6089
_cell_length_c 9.6716
_cell_angle_alpha 90.00
_cell_angle_beta 90.00
_cell_angle_gamma 90.00
_space_group_name_H-M_alt 'P 1'
_space_group_IT_number 1
_space_group_name_Hall 'P 1'
loop_
_atom_site_label
_atom_site_type_symbol
_atom_site_fract_x
_atom_site_fract_y
_atom_site_fract_z
_atom_site_occupancy
Ca1 Ca 0.0000 0.0000 0.0000 1
Ca2 Ca 0.5000 0.5000 0.0000 1
Ta1 Ta 0.0000 0.5000 0.2998 1
Ta2 Ta 0.5000 0.0000 0.2998 1
Re1 Re 0.0000 0.0000 0.5214 1
Re2 Re 0.0000 0.5000 0.7369 1
Re3 Re 0.5000 0.0000 0.7369 1
Re4 Re 0.5000 0.5000 0.5214 1
```

Output
- Relative energy among the computed polymorphs: 165 meV per atom
- ΔH_f (0 K): 0.497 eV/atom